This record from Alexandria via LeMat-Bulk describes Rb2HfMnGa after structural relaxation. The functional is PBE.

Unit cell a=6.299 b=6.299 c=5.349 alpha=90.00 beta=90.00 gamma=90.00
Fractional positions:
Rb 0.000 0.500 0.000
Rb 0.500 0.000 0.000
Hf 0.000 0.000 0.500
Mn 0.500 0.500 0.500
Ga 0.000 0.000 0.000

Calculated values
For the formation energy, the calculation gives 1.2526 eV per atom. Its density is 3710 kg/m3. The density of states at the Fermi level comes out at 1.205 states/eV per atom.